Record 1
Computed, not measured: an optimized crystal structure of Li6Cu2Hg at the PBE level of DFT.

The structure belongs to space group C2/m (No. 12); the cell edges are 6.905, 7.744 and 5.177 Å and the angles 90.00°, 99.73° and 90.00°. The distinct sites, in fractional coordinates, are Li at (0.000, 0.169, 0.000), Li at (0.165, 0.335, 0.669), Cu at (0.156, 0.500, 0.156) and Hg at (0.000, 0.000, 0.500).

Its density of states at the Fermi level is 3.8 states/eV/f.u. Its crystal system is monoclinic. The formation energy from the elements comes out at -98.8 meV per atom.



Record 2
Computed, not measured: an optimized crystal structure of NiPtSe2 at the PBE level of DFT.

The structure belongs to space group F-43m (No. 216); the cell edges are 6.414, 6.414 and 6.414 Å and the angles 90.00°, 90.00° and 90.00°. The distinct sites, in fractional coordinates, are Ni at (0.000, 0.000, 0.000), Pt at (0.250, 0.250, 0.250), Se at (0.000, 0.000, 0.500) and Se at (0.250, 0.250, 0.750).

Its density of states at the Fermi level is 2.8 states/eV/f.u. The value obtained for the raw formation energy is 502 meV per atom. Its crystal system is cubic.



Record 3
Computed, not measured: an optimized crystal structure of TcP2Br2 at the PBE level of DFT.

The structure belongs to space group I4/mmm (No. 139); the cell edges are 6.024, 6.024 and 6.804 Å and the angles 90.00°, 90.00° and 90.00°. The distinct sites, in fractional coordinates, are Tc at (0.000, 0.000, 0.000), P at (0.000, 0.000, 0.356) and Br at (0.000, 0.500, 0.250).

Its density of states at the Fermi level is 4.3 states/eV/f.u. The value obtained for the raw formation energy is 866 meV per atom. The energy above the most stable polymorph in this dataset is 0.0000 eV/atom. Its crystal system is tetragonal.



Record 4
Computed, not measured: an optimized crystal structure of ScNiSnOs at the PBE level of DFT.

The structure belongs to space group F-43m (No. 216); the cell edges are 6.391, 6.391 and 6.391 Å and the angles 90.00°, 90.00° and 90.00°. The distinct sites, in fractional coordinates, are Sc at (0.000, 0.000, 0.000), Ni at (0.250, 0.250, 0.750), Sn at (0.000, 0.000, 0.500) and Os at (0.250, 0.250, 0.250).

Its density of states at the Fermi level is 3.4 states/eV/f.u. Its crystal system is cubic. The formation energy from the elements comes out at -293.1 meV per atom.



Record 5
Computed, not measured: an optimized crystal structure of Pa2VWN6 at the PBE level of DFT.

The structure belongs to space group P4mm (No. 99); the cell edges are 5.399, 5.399 and 4.616 Å and the angles 90.00°, 90.00° and 90.00°. The distinct sites, in fractional coordinates, are Pa at (0.000, 0.500, 0.000), V at (0.000, 0.000, 0.597), W at (0.500, 0.500, 0.598), N at (0.000, 0.000, 0.221), N at (0.248, 0.248, 0.740) and N at (0.500, 0.500, 0.202).

Its density of states at the Fermi level is 8.3 states/eV/f.u. The value obtained for the raw formation energy is -991 meV per atom. Its crystal system is tetragonal.



Record 6
Computed, not measured: an optimized crystal structure of Sr8MgPt2 at the PBE level of DFT.

The structure belongs to space group Cm (No. 8); the cell edges are 9.781, 14.416 and 6.264 Å and the angles 90.00°, 102.16° and 90.00°. The distinct sites, in fractional coordinates, are Sr at (0.000, 0.000, 0.000), Sr at (0.083, 0.364, 0.797), Sr at (0.190, 0.136, 0.631), Sr at (0.272, 0.500, 0.427), Sr at (0.386, 0.251, 0.214), Mg at (0.385, 0.000, 0.214) and Pt at (0.386, 0.314, 0.714).

Its density of states at the Fermi level is 9.8 states/eV/f.u. Its crystal system is monoclinic. The formation energy from the elements comes out at -353.8 meV per atom.



Repeat the fourth record exactly.
Computed, not measured: an optimized crystal structure of ScNiSnOs at the PBE level of DFT.

The structure belongs to space group F-43m (No. 216); the cell edges are 6.391, 6.391 and 6.391 Å and the angles 90.00°, 90.00° and 90.00°. The distinct sites, in fractional coordinates, are Sc at (0.000, 0.000, 0.000), Ni at (0.250, 0.250, 0.750), Sn at (0.000, 0.000, 0.500) and Os at (0.250, 0.250, 0.250).

Its density of states at the Fermi level is 3.4 states/eV/f.u. Its crystal system is cubic. The formation energy from the elements comes out at -293.1 meV per atom.